Crystalline Mn2ReW at its relaxed geometry. Source: Alexandria via LeMat-Bulk, functional PBE-GGA. Values from VASP.

Properties
Its energy of formation from the pure elements is 0.142 eV per atom. The total energy is -43.2 eV/cell. The space group is P4/mmm, No. 123.

The structure in Quantum ESPRESSO input format:
```
&SYSTEM
  ibrav = 0, nat = 4, ntyp = 3
/
ATOMIC_SPECIES
Mn 54.94 Mn.upf
Re 186.21 Re.upf
W 183.84 W.upf
ATOMIC_POSITIONS angstrom
Mn 0.000 1.986 0.000
Mn 1.986 0.000 0.000
Re 0.000 0.000 1.713
W 1.986 1.986 1.713
CELL_PARAMETERS angstrom
3.971 0.000 0.000
0.000 3.971 0.000
0.000 0.000 3.427
```